# 1
Density functional theory data (PBE-GGA) for a relaxed Ac2LaTm crystal.

Cell: 3.7311 3.7311 13.3913 Å, 81.99 81.99 60.00°
With the nearest neighbours (Å) after each atom.
Atoms (fractional coordinates):
Tm  0.0000  0.0000  0.0000  2 Ac 3.46, 6 Tm 3.73
Ac  0.0873  0.0873  0.7381  1 Tm 3.46, 6 Ac 3.73, 3 La 3.81
Ac  0.9127  0.9127  0.2619  1 Tm 3.46, 6 Ac 3.73, 3 La 3.81
La  0.5000  0.5000  0.5000  6 La 3.73, 6 Ac 3.81

## Properties
ρ = 7.939 Mg/m³
SG = R-3m, No. 166
Excess energy over the best structure of this formula in the dataset = 213 meV/atom
Calculated formation energy = 0.247 eV per atom

# 2
Density functional theory data (PBE-GGA) for a relaxed Ac2La5Tm12 crystal.

Cell: 6.1301 11.9875 15.1475 Å, 143.73 82.89 103.17°
With the nearest neighbours (Å) after each atom.
Atoms (fractional coordinates):
La  0.0000  0.0000  0.5000  8 Tm 3.33-3.71
La  0.5402  0.2494  0.7985  10 Tm 3.48-3.81, 1 La 3.88
La  0.8198  0.6258  0.6514  9 Tm 3.52-3.74, 1 La 3.64, 2 Ac 3.68-3.71
La  0.1802  0.3742  0.3486  9 Tm 3.52-3.74, 1 La 3.64, 2 Ac 3.68-3.71
La  0.4598  0.7506  0.2015  10 Tm 3.48-3.81, 1 La 3.88
Tm  0.4123  0.8504  0.7099  5 Tm 3.38-3.59, 4 La 3.52-3.70, 2 Ac 3.67-3.71
Tm  0.9099  0.5112  0.1225  5 Tm 3.45-3.62, 4 La 3.48-3.81, 1 Ac 3.60
Tm  0.6658  0.2356  0.5592  4 La 3.33-3.54, 4 Tm 3.36-3.53
Tm  0.0901  0.4888  0.8775  5 Tm 3.45-3.62, 4 La 3.48-3.81, 1 Ac 3.60
Tm  0.0161  0.9493  0.2370  6 Tm 3.45-3.74, 4 La 3.50-3.74, 1 Ac 3.57
Tm  0.2459  0.4050  0.5961  5 Tm 3.36-3.59, 4 La 3.53-3.71, 1 Ac 3.56
Tm  0.5877  0.1496  0.2901  5 Tm 3.38-3.59, 4 La 3.52-3.70, 2 Ac 3.67-3.71
Tm  0.3530  0.3142  0.0729  6 Tm 3.44-3.82, 2 Ac 3.51-3.64, 3 La 3.64-3.73
Tm  0.3342  0.7644  0.4408  4 La 3.33-3.54, 4 Tm 3.36-3.53
Tm  0.7541  0.5950  0.4039  5 Tm 3.36-3.59, 4 La 3.53-3.71, 1 Ac 3.56
Tm  0.9839  0.0507  0.7630  6 Tm 3.45-3.74, 4 La 3.50-3.74, 1 Ac 3.57
Tm  0.6470  0.6858  0.9271  6 Tm 3.44-3.82, 2 Ac 3.51-3.64, 3 La 3.64-3.73
Ac  0.2093  0.8807  0.9657  8 Tm 3.51-3.88, 2 Ac 3.67-3.71, 2 La 3.68-3.71
Ac  0.7907  0.1193  0.0343  8 Tm 3.51-3.88, 2 Ac 3.67-3.71, 2 La 3.68-3.71

## Properties
ρ = 8.269 Mg/m³
SG = P-1, No. 2
Calculated formation energy = 0.073 eV per atom

# 3
Density functional theory data (PBE-GGA) for a relaxed AcLa2Tm6 crystal.

Cell: 8.8697 6.7832 9.3024 Å, 111.38 42.00 90.00°
With the nearest neighbours (Å) after each atom.
Atoms (fractional coordinates):
La  0.2950  0.2590  0.5180  5 Tm 3.38-3.67
La  0.7050  0.7410  0.4820  5 Tm 3.38-3.67
Ac  0.0000  0.0000  0.0000  6 Tm 3.50-3.71, 2 La 3.80
Tm  0.2063  0.8584  0.1952  6 Tm 3.23-3.54, 1 La 3.38
Tm  0.3972  0.6773  0.3546  6 Tm 3.38-3.63, 1 Ac 3.50, 3 La 3.50-3.67
Tm  0.6028  0.3227  0.6454  6 Tm 3.38-3.63, 1 Ac 3.50, 3 La 3.50-3.67
Tm  0.7937  0.6632  0.8048  6 Tm 3.23-3.54, 1 La 3.38
Tm  0.2063  0.3368  0.1952  6 Tm 3.23-3.54, 1 La 3.38
Tm  0.7937  0.1416  0.8048  6 Tm 3.23-3.54, 1 La 3.38

## Properties
ρ = 8.029 Mg/m³
SG = C2/m, No. 12
Calculated formation energy = 0.179 eV per atom